Run i
Here is a geometry-optimized RbAgIN2 structure from Alexandria. Energies are from PBE.

The density of states at the Fermi level is 0.26 states/eV/atom.

The structure belongs to space group P4/mmm (No. 123); the cell edges are 4.693, 4.693 and 6.289 Å and the angles 90.00°, 90.00° and 90.00°. The asymmetric unit holds Rb at (0.000, 0.000, 0.000), Ag at (0.500, 0.500, 0.500), I at (0.500, 0.500, 0.000) and N at (0.000, 0.500, 0.500).



Run ii
Here is a geometry-optimized RbAgIN2 structure from Alexandria. Energies are from PBE.

The density of states at the Fermi level is 0.41 states/eV/atom.

The structure belongs to space group P4/mmm (No. 123); the cell edges are 5.252, 5.252 and 7.384 Å and the angles 90.00°, 90.00° and 90.00°. The asymmetric unit holds Rb at (0.000, 0.000, 0.000), Ag at (0.500, 0.500, 0.500), I at (0.000, 0.000, 0.500) and N at (0.000, 0.500, 0.000).



The data favor run i; the next most stable structure lies 61.9 kJ/mol of atoms above it.



Run i
Here is a geometry-optimized AgRhIN2 structure from Alexandria. Energies are from PBE.

The density of states at the Fermi level is 0.41 states/eV/atom.

The structure belongs to space group P4/mmm (No. 123); the cell edges are 3.848, 3.848 and 8.345 Å and the angles 90.00°, 90.00° and 90.00°. The asymmetric unit holds Ag at (0.000, 0.000, 0.000), Rh at (0.500, 0.500, 0.500), I at (0.500, 0.500, 0.000) and N at (0.000, 0.500, 0.500).



Run ii
Here is a geometry-optimized AgRhIN2 structure from Alexandria. Energies are from PBE.

The density of states at the Fermi level is 1.13 states/eV/atom.

The structure belongs to space group P4/mmm (No. 123); the cell edges are 4.003, 4.003 and 7.220 Å and the angles 90.00°, 90.00° and 90.00°. The asymmetric unit holds Ag at (0.000, 0.000, 0.000), Rh at (0.500, 0.500, 0.500), I at (0.000, 0.000, 0.500) and N at (0.000, 0.500, 0.000).



The data favor run i; the next most stable structure lies 92.0 kJ/mol of atoms above it.



Run i
Here is a geometry-optimized AgRuI2N structure from Alexandria. Energies are from PBE.

The density of states at the Fermi level is 0.50 states/eV/atom.

The structure belongs to space group P4/mmm (No. 123); the cell edges are 5.614, 5.614 and 3.721 Å and the angles 90.00°, 90.00° and 90.00°. The asymmetric unit holds Ag at (0.000, 0.000, 0.000), Ru at (0.500, 0.500, 0.500), I at (0.000, 0.500, 0.500) and N at (0.500, 0.500, 0.000).



Run ii
Here is a geometry-optimized AgRuI2N structure from Alexandria. Energies are from PBE.

The density of states at the Fermi level is 0.69 states/eV/atom.

The structure belongs to space group P4/mmm (No. 123); the cell edges are 5.731, 5.731 and 3.706 Å and the angles 90.00°, 90.00° and 90.00°. The asymmetric unit holds Ag at (0.000, 0.000, 0.000), Ru at (0.500, 0.500, 0.000), I at (0.000, 0.500, 0.500) and N at (0.500, 0.500, 0.500).



The data favor run i; the next most stable structure lies 44.1 kJ/mol of atoms above it.



Run i
Here is a geometry-optimized AgSI2N structure from Alexandria. Energies are from PBE.

The density of states at the Fermi level is 1.16 states/eV/atom.

The structure belongs to space group P4/mmm (No. 123); the cell edges are 5.752, 5.752 and 4.080 Å and the angles 90.00°, 90.00° and 90.00°. The asymmetric unit holds Ag at (0.000, 0.000, 0.000), S at (0.500, 0.500, 0.500), I at (0.000, 0.500, 0.000) and N at (0.000, 0.000, 0.500).



Run ii
Here is a geometry-optimized AgSI2N structure from Alexandria. Energies are from PBE.

The density of states at the Fermi level is 0.39 states/eV/atom.

The structure belongs to space group P4/mmm (No. 123); the cell edges are 6.148, 6.148 and 3.365 Å and the angles 90.00°, 90.00° and 90.00°. The asymmetric unit holds Ag at (0.000, 0.000, 0.000), S at (0.500, 0.500, 0.500), I at (0.000, 0.500, 0.500) and N at (0.500, 0.500, 0.000).



The data favor run ii; the next most stable structure lies 53.9 kJ/mol of atoms above it.



Run i
Here is a geometry-optimized AgSb2IN structure from Alexandria. Energies are from PBE.

The density of states at the Fermi level is 1.82 states/eV/atom.

The structure belongs to space group P4/mmm (No. 123); the cell edges are 5.370, 5.370 and 5.444 Å and the angles 90.00°, 90.00° and 90.00°. The asymmetric unit holds Ag at (0.000, 0.000, 0.000), Sb at (0.000, 0.500, 0.000), I at (0.000, 0.000, 0.500) and N at (0.500, 0.500, 0.500).



Run ii
Here is a geometry-optimized AgSb2IN structure from Alexandria. Energies are from PBE.

The density of states at the Fermi level is 0.50 states/eV/atom.

The structure belongs to space group P4/mmm (No. 123); the cell edges are 4.860, 4.860 and 4.803 Å and the angles 90.00°, 90.00° and 90.00°. The asymmetric unit holds Ag at (0.000, 0.000, 0.000), Sb at (0.000, 0.500, 0.500), I at (0.500, 0.500, 0.000) and N at (0.500, 0.500, 0.500).



The data favor run ii; the next most stable structure lies 94.2 kJ/mol of atoms above it.



Run i
Here is a geometry-optimized AgSbIN2 structure from Alexandria. Energies are from PBE.

The density of states at the Fermi level is 0.40 states/eV/atom.

The structure belongs to space group P4/mmm (No. 123); the cell edges are 4.084, 4.084 and 7.255 Å and the angles 90.00°, 90.00° and 90.00°. The asymmetric unit holds Ag at (0.000, 0.000, 0.000), Sb at (0.500, 0.500, 0.500), I at (0.500, 0.500, 0.000) and N at (0.000, 0.500, 0.500).



Run ii
Here is a geometry-optimized AgSbIN2 structure from Alexandria. Energies are from PBE.

The density of states at the Fermi level is 0.52 states/eV/atom.

The structure belongs to space group P4/mmm (No. 123); the cell edges are 4.362, 4.362 and 6.376 Å and the angles 90.00°, 90.00° and 90.00°. The asymmetric unit holds Ag at (0.000, 0.000, 0.000), Sb at (0.500, 0.500, 0.500), I at (0.000, 0.000, 0.500) and N at (0.000, 0.500, 0.000).



The data favor run i; the next most stable structure lies 68.6 kJ/mol of atoms above it.



Run i
Here is a geometry-optimized AgSeI2N structure from Alexandria. Energies are from PBE.

The density of states at the Fermi level is 0.26 states/eV/atom.

The structure belongs to space group P4/mmm (No. 123); the cell edges are 6.026, 6.026 and 3.709 Å and the angles 90.00°, 90.00° and 90.00°. The asymmetric unit holds Ag at (0.000, 0.000, 0.000), Se at (0.500, 0.500, 0.500), I at (0.000, 0.500, 0.500) and N at (0.500, 0.500, 0.000).



Run ii
Here is a geometry-optimized AgSeI2N structure from Alexandria. Energies are from PBE.

The density of states at the Fermi level is 0.99 states/eV/atom.

The structure belongs to space group P4/mmm (No. 123); the cell edges are 5.794, 5.794 and 4.084 Å and the angles 90.00°, 90.00° and 90.00°. The asymmetric unit holds Ag at (0.000, 0.000, 0.000), Se at (0.500, 0.500, 0.500), I at (0.000, 0.500, 0.000) and N at (0.000, 0.000, 0.500).



The data favor run i; the next most stable structure lies 35.6 kJ/mol of atoms above it.



Run i
Here is a geometry-optimized SiAgI2N structure from Alexandria. Energies are from PBE.

The density of states at the Fermi level is 0.49 states/eV/atom.

The structure belongs to space group P4/mmm (No. 123); the cell edges are 5.825, 5.825 and 4.047 Å and the angles 90.00°, 90.00° and 90.00°. The asymmetric unit holds Si at (0.000, 0.000, 0.000), Ag at (0.500, 0.500, 0.500), I at (0.000, 0.500, 0.500) and N at (0.500, 0.500, 0.000).



Run ii
Here is a geometry-optimized SiAgI2N structure from Alexandria. Energies are from PBE.

The density of states at the Fermi level is 0.31 states/eV/atom.

The structure belongs to space group P4/mmm (No. 123); the cell edges are 5.878, 5.878 and 3.347 Å and the angles 90.00°, 90.00° and 90.00°. The asymmetric unit holds Si at (0.000, 0.000, 0.000), Ag at (0.500, 0.500, 0.500), I at (0.000, 0.500, 0.000) and N at (0.000, 0.000, 0.500).



The data favor run ii; the next most stable structure lies 89.0 kJ/mol of atoms above it.



Run i
Here is a geometry-optimized SrAgI2N structure from Alexandria. Energies are from PBE.

The density of states at the Fermi level is 0.32 states/eV/atom.

The structure belongs to space group P4/mmm (No. 123); the cell edges are 5.711, 5.711 and 4.183 Å and the angles 90.00°, 90.00° and 90.00°. The asymmetric unit holds Sr at (0.000, 0.000, 0.000), Ag at (0.500, 0.500, 0.000), I at (0.000, 0.500, 0.500) and N at (0.500, 0.500, 0.500).



Run ii
Here is a geometry-optimized SrAgI2N structure from Alexandria. Energies are from PBE.

The density of states at the Fermi level is 0.34 states/eV/atom.

The structure belongs to space group P4/mmm (No. 123); the cell edges are 6.438, 6.438 and 5.000 Å and the angles 90.00°, 90.00° and 90.00°. The asymmetric unit holds Sr at (0.000, 0.000, 0.000), Ag at (0.500, 0.500, 0.500), I at (0.000, 0.500, 0.000) and N at (0.000, 0.000, 0.500).



The data favor run i; the next most stable structure lies 19.6 kJ/mol of atoms above it.



Run i
Here is a geometry-optimized TcAgI2N structure from Alexandria. Energies are from PBE.

The density of states at the Fermi level is 0.74 states/eV/atom.

The structure belongs to space group P4/mmm (No. 123); the cell edges are 5.623, 5.623 and 3.760 Å and the angles 90.00°, 90.00° and 90.00°. The asymmetric unit holds Tc at (0.000, 0.000, 0.000), Ag at (0.500, 0.500, 0.500), I at (0.000, 0.500, 0.000) and N at (0.000, 0.000, 0.500).



Run ii
Here is a geometry-optimized TcAgI2N structure from Alexandria. Energies are from PBE.

The density of states at the Fermi level is 0.89 states/eV/atom.

The structure belongs to space group P4/mmm (No. 123); the cell edges are 5.939, 5.939 and 3.865 Å and the angles 90.00°, 90.00° and 90.00°. The asymmetric unit holds Tc at (0.000, 0.000, 0.000), Ag at (0.500, 0.500, 0.500), I at (0.000, 0.500, 0.500) and N at (0.500, 0.500, 0.000).



The data favor run i; the next most stable structure lies 118.8 kJ/mol of atoms above it.



Run i
Here is a geometry-optimized VAgI2N structure from Alexandria. Energies are from PBE.

The density of states at the Fermi level is 0.17 states/eV/atom.

The structure belongs to space group P4/mmm (No. 123); the cell edges are 5.647, 5.647 and 3.691 Å and the angles 90.00°, 90.00° and 90.00°. The asymmetric unit holds V at (0.000, 0.000, 0.000), Ag at (0.500, 0.500, 0.500), I at (0.000, 0.500, 0.000) and N at (0.000, 0.000, 0.500).



Run ii
Here is a geometry-optimized VAgI2N structure from Alexandria. Energies are from PBE.

The density of states at the Fermi level is 1.56 states/eV/atom.

The structure belongs to space group P4/mmm (No. 123); the cell edges are 5.844, 5.844 and 3.879 Å and the angles 90.00°, 90.00° and 90.00°. The asymmetric unit holds V at (0.000, 0.000, 0.000), Ag at (0.500, 0.500, 0.500), I at (0.000, 0.500, 0.500) and N at (0.500, 0.500, 0.000).



The data favor run i; the next most stable structure lies 137.7 kJ/mol of atoms above it.



Run i
Here is a geometry-optimized YAgIN2 structure from Alexandria. Energies are from PBE.

The density of states at the Fermi level is 0.50 states/eV/atom.

The structure belongs to space group P4/mmm (No. 123); the cell edges are 4.344, 4.344 and 5.257 Å and the angles 90.00°, 90.00° and 90.00°. The asymmetric unit holds Y at (0.000, 0.000, 0.000), Ag at (0.500, 0.500, 0.500), I at (0.500, 0.500, 0.000) and N at (0.000, 0.500, 0.500).



Run ii
Here is a geometry-optimized YAgIN2 structure from Alexandria. Energies are from PBE.

The density of states at the Fermi level is 0.41 states/eV/atom.

The structure belongs to space group P4/mmm (No. 123); the cell edges are 4.446, 4.446 and 6.508 Å and the angles 90.00°, 90.00° and 90.00°. The asymmetric unit holds Y at (0.000, 0.000, 0.000), Ag at (0.500, 0.500, 0.500), I at (0.000, 0.000, 0.500) and N at (0.000, 0.500, 0.000).



The data favor run ii; the next most stable structure lies 52.8 kJ/mol of atoms above it.